The following is a PBE calculation of Np2SeS3 after structural relaxation, from OQMD.

Magnetic moment, μB/f.u.: 6.00

Cell: 20.7302 3.7989 6.5783 Å, 90.00 90.05 90.00°
With the nearest neighbours (Å) after each atom.
Positions (direct):
Np (0.0000, 0.0000, 0.0000)  5 S 2.69-2.70, 1 Se 2.84
Np (0.0000, 0.5000, 0.4925)  4 S 2.68-2.69, 2 Se 2.84
Np (0.5000, 0.0000, 0.4925)  4 S 2.68-2.69, 2 Se 2.84
Np (0.5000, 0.5000, 0.0000)  5 S 2.69-2.70, 1 Se 2.84
Se (0.0860, 0.0000, 0.6634)  3 Np 2.84
Se (0.5860, 0.5000, 0.6634)  3 Np 2.84
S (0.0765, 0.5000, 0.1627)  3 Np 2.69-2.70
S (0.4233, 0.0000, 0.1628)  3 Np 2.69-2.70
S (0.4262, 0.5000, 0.6628)  3 Np 2.68-2.69
S (0.5765, 0.0000, 0.1627)  3 Np 2.69-2.70
S (0.9233, 0.5000, 0.1628)  3 Np 2.69-2.70
S (0.9262, 0.0000, 0.6628)  3 Np 2.68-2.69



The following is a PBE calculation of Hf3HgC after structural relaxation, from OQMD.

Energy above the most stable polymorph in this dataset, eV/f.u.: 0.00
Magnetic moment, μB/f.u.: 0.00

Cell: 6.1642 6.1642 9.1265 Å, 90.00 90.00 148.35°
With the nearest neighbours (Å) after each atom.
Positions (direct):
Hf (0.0354, 0.9646, 0.7500)  2 C 2.32
Hf (0.3755, 0.6245, 0.5411)  2 C 2.27
Hf (0.3755, 0.6245, 0.9589)  2 C 2.27
Hf (0.6245, 0.3755, 0.0411)  2 C 2.27
Hf (0.6245, 0.3755, 0.4589)  2 C 2.27
Hf (0.9646, 0.0354, 0.2500)  2 C 2.32
Hg (0.2544, 0.7456, 0.2500)  8 Hf 2.97-3.02
Hg (0.7456, 0.2544, 0.7500)  8 Hf 2.97-3.02
C (0.0000, 0.0000, 0.0000)  6 Hf 2.27-2.32
C (0.0000, 0.0000, 0.5000)  6 Hf 2.27-2.32



The following is a PBE calculation of TlNiAgTe2S after structural relaxation, from OQMD.

Magnetic moment, μB/f.u.: 0.00

Cell: 6.5436 6.5436 11.6764 Å, 90.00 90.00 144.80°
With the nearest neighbours (Å) after each atom.
Positions (direct):
Tl (0.2064, 0.7936, 0.7500)  2 S 2.91, 2 Ag 3.08, 2 Te 3.26
Tl (0.7936, 0.2064, 0.2500)  2 S 2.91, 2 Ag 3.08, 2 Te 3.26
Ni (0.5000, 0.5000, 0.0000)  4 Te 2.55
Ni (0.5000, 0.5000, 0.5000)  4 Te 2.55
Ag (0.1047, 0.8953, 0.2500)  2 S 2.64, 2 Te 2.74
Ag (0.8953, 0.1047, 0.7500)  2 S 2.64, 2 Te 2.74
Te (0.1279, 0.8721, 0.0163)  2 Ni 2.55, 1 Ag 2.74
Te (0.1279, 0.8721, 0.4837)  2 Ni 2.55, 1 Ag 2.74
Te (0.8721, 0.1279, 0.5163)  2 Ni 2.55, 1 Ag 2.74
Te (0.8721, 0.1279, 0.9837)  2 Ni 2.55, 1 Ag 2.74
S (0.4650, 0.5350, 0.2500)  2 Ag 2.64, 2 Tl 2.91, 2 Ni 2.95
S (0.5350, 0.4650, 0.7500)  2 Ag 2.64, 2 Tl 2.91, 2 Ni 2.95



The following is a PBE calculation of UP4 after structural relaxation, from OQMD.

Magnetic moment, μB/f.u.: 2.76

Cell: 7.1744 7.1744 6.2394 Å, 98.01 98.01 136.83°
With the nearest neighbours (Å) after each atom.
Positions (direct):
U (0.0497, 0.9503, 0.7500)  6 P 2.77-2.86
U (0.9503, 0.0497, 0.2500)  6 P 2.77-2.86
P (0.0500, 0.4977, 0.1800)  3 P 2.21-2.27
P (0.1583, 0.3995, 0.6948)  2 P 2.17-2.27
P (0.3995, 0.1583, 0.1948)  2 P 2.17-2.27
P (0.4977, 0.0500, 0.6800)  3 P 2.21-2.27
P (0.5023, 0.9500, 0.3200)  3 P 2.21-2.27
P (0.6005, 0.8417, 0.8052)  2 P 2.17-2.27
P (0.8417, 0.6005, 0.3052)  2 P 2.17-2.27
P (0.9500, 0.5023, 0.8200)  3 P 2.21-2.27



The following is a PBE calculation of LiCdCu2As2 after structural relaxation, from OQMD.

Cell: 3.9676 3.9676 6.3055 Å, 90.00 90.00 90.00°
With the nearest neighbours (Å) after each atom.
Positions (direct):
Li (0.0000, 0.0000, 0.0000)  5 As 2.74-2.85, 4 Cu 2.79
Cd (0.5000, 0.5000, 0.3400)  5 As 2.65-2.87, 4 Cu 2.96
Cu (0.0000, 0.5000, 0.6879)  4 As 2.47-2.55
Cu (0.5000, 0.0000, 0.6879)  4 As 2.47-2.55
As (0.0000, 0.0000, 0.4345)  4 Cu 2.55, 1 Li 2.74
As (0.5000, 0.5000, 0.9205)  4 Cu 2.47, 1 Cd 2.65



The following is a PBE calculation of Y3Er2TmSb2Os after structural relaxation, from OQMD.

Magnetic moment, μB/f.u.: 0.02

Cell: 4.1994 8.1461 8.1461 Å, 120.00 90.00 90.00°
With the nearest neighbours (Å) after each atom.
Positions (direct):
Y (0.0000, 0.0000, 0.0000)  1 Os 3.22, 4 Sb 3.27, 4 Er 3.50
Y (0.0000, 0.3954, 0.7907)  1 Os 3.22, 4 Sb 3.27, 2 Er 3.50, 2 Tm 3.50
Y (0.0000, 0.7907, 0.3954)  1 Os 3.22, 4 Sb 3.27, 2 Er 3.50, 2 Tm 3.50
Er (0.5000, 0.1598, 0.3954)  2 Os 2.84
Er (0.5000, 0.3954, 0.1598)  2 Os 2.84
Tm (0.5000, 0.6308, 0.6308)  2 Os 2.84
Sb (0.5000, 0.0619, 0.7287)  1 Tm 3.19, 2 Er 3.19, 6 Y 3.27
Sb (0.5000, 0.7287, 0.0619)  1 Tm 3.19, 2 Er 3.19, 6 Y 3.27
Os (0.0000, 0.3956, 0.3956)  2 Tm 2.84, 4 Er 2.84



The following is a PBE calculation of SmPt8N2 after structural relaxation, from OQMD.

Magnetic moment, μB/f.u.: 0.00

Cell: 6.9079 6.9079 9.5697 Å, 130.62 130.62 29.73°
With the nearest neighbours (Å) after each atom.
Positions (direct):
Sm (0.0000, 0.0000, 0.0000)  4 N 2.68
Pt (0.0079, 0.0079, 0.3690)  9 Pt 2.65-2.82
Pt (0.3272, 0.3272, 0.3325)  2 N 2.16
Pt (0.3534, 0.3534, 0.6554)  1 N 2.07
Pt (0.3564, 0.3564, 0.0781)  1 N 2.11
Pt (0.6436, 0.6436, 0.9219)  1 N 2.11
Pt (0.6466, 0.6466, 0.3446)  1 N 2.07
Pt (0.6728, 0.6728, 0.6675)  2 N 2.16
Pt (0.9921, 0.9921, 0.6310)  9 Pt 2.65-2.82
N (0.2958, 0.2958, 0.8095)  4 Pt 2.07-2.16
N (0.7042, 0.7042, 0.1905)  4 Pt 2.07-2.16



The following is a PBE calculation of La2TbSn4Pb3 after structural relaxation, from OQMD.

Energy above the most stable polymorph in this dataset, eV/f.u.: 0.00
Magnetic moment, μB/f.u.: 0.02

Cell: 13.3941 13.3941 4.7858 Å, 90.00 90.00 160.30°
With the nearest neighbours (Å) after each atom.
Positions (direct):
La (0.1862, 0.8138, 0.0000)  8 Sn 3.37-3.61, 2 Pb 3.38
La (0.8138, 0.1862, 0.0000)  8 Sn 3.37-3.61, 2 Pb 3.38
Tb (0.0000, 0.0000, 0.0000)  8 Pb 3.31-3.48, 4 Sn 3.35
Sn (0.2884, 0.7116, 0.5000)  2 Sn 3.06, 4 La 3.38
Sn (0.4072, 0.5928, 0.0000)  6 Pb 3.31-3.42, 2 Tb 3.35, 2 La 3.37
Sn (0.5928, 0.4072, 0.0000)  6 Pb 3.31-3.42, 2 Tb 3.35, 2 La 3.37
Sn (0.7116, 0.2884, 0.5000)  2 Sn 3.06, 4 La 3.38
Pb (0.0957, 0.9043, 0.5000)  4 Sn 3.31, 2 La 3.38, 2 Pb 3.41, 2 Tb 3.48
Pb (0.5000, 0.5000, 0.5000)  4 Tb 3.31, 4 Pb 3.41, 4 Sn 3.42
Pb (0.9043, 0.0957, 0.5000)  4 Sn 3.31, 2 La 3.38, 2 Pb 3.41, 2 Tb 3.48



The following is a PBE calculation of AlCuICl3 after structural relaxation, from OQMD.

Cell: 5.8291 6.0401 6.4092 Å, 65.64 63.49 89.94°
With the nearest neighbours (Å) after each atom.
Positions (direct):
Al (0.0000, 0.0000, 0.0000)  3 Cl 2.17
Cu (0.2628, 0.7669, 0.4885)  3 Cl 2.36-2.37, 1 I 2.56
I (0.3852, 0.3762, 0.7401)  1 Al 2.56, 1 Cu 2.56
Cl (0.1092, 0.6901, 0.2357)  1 Al 2.17, 1 Cu 2.36
Cl (0.6491, 0.0867, 0.2427)  1 Al 2.17, 1 Cu 2.37
Cl (0.9197, 0.9022, 0.7454)  1 Al 2.17, 1 Cu 2.36



The following is a PBE calculation of Tm4TlC2Se after structural relaxation, from OQMD.

Magnetic moment, μB/f.u.: 0.12

Cell: 3.6308 3.6308 14.5789 Å, 90.00 90.00 120.00°
With the nearest neighbours (Å) after each atom.
Positions (direct):
Tm (0.0000, 0.0000, 0.1362)  3 C 2.48
Tm (0.0000, 0.0000, 0.8638)  3 C 2.48
Tm (0.3333, 0.6667, 0.3157)  3 C 2.46
Tm (0.3333, 0.6667, 0.6843)  3 C 2.46
Tl (0.0000, 0.0000, 0.5000)  6 Tm 3.41, 6 Tl 3.63
C (0.6667, 0.3333, 0.2272)  6 Tm 2.46-2.48
C (0.6667, 0.3333, 0.7728)  6 Tm 2.46-2.48
Se (0.3333, 0.6667, 0.0000)  6 Tm 2.89



The following is a PBE calculation of La3PdPt2Pb3 after structural relaxation, from OQMD.

Magnetic moment, μB/f.u.: 0.00

Cell: 7.9190 7.9190 4.1972 Å, 90.00 90.00 120.00°
With the nearest neighbours (Å) after each atom.
Positions (direct):
La (0.0000, 0.5875, 0.0000)  4 Pt 3.18, 1 Pd 3.27, 6 Pb 3.38-3.54
La (0.4125, 0.4125, 0.0000)  4 Pt 3.18, 1 Pd 3.27, 6 Pb 3.38-3.54
La (0.5875, 0.0000, 0.0000)  4 Pt 3.18, 1 Pd 3.27, 6 Pb 3.38-3.54
Pd (0.0000, 0.0000, 0.0000)  6 Pb 2.90
Pt (0.3333, 0.6667, 0.5000)  3 Pb 3.01, 6 La 3.18
Pt (0.6667, 0.3333, 0.5000)  3 Pb 3.01, 6 La 3.18
Pb (0.0000, 0.2524, 0.5000)  2 Pd 2.90, 2 Pt 3.01
Pb (0.2524, 0.0000, 0.5000)  2 Pd 2.90, 2 Pt 3.01
Pb (0.7476, 0.7476, 0.5000)  2 Pd 2.90, 2 Pt 3.01



The following is a PBE calculation of Dy2TmLuIn2 after structural relaxation, from OQMD.

Magnetic moment, μB/f.u.: 0.03

Cell: 5.3329 5.3329 6.6795 Å, 90.00 90.00 120.00°
With the nearest neighbours (Å) after each atom.
Positions (direct):
Dy (0.0000, 0.0000, 0.2495)  2 Dy 3.33-3.35, 6 In 3.50, 3 Lu 3.50, 3 Tm 3.50
Dy (0.0000, 0.0000, 0.7505)  2 Dy 3.33-3.35, 6 In 3.50, 3 Lu 3.50, 3 Tm 3.50
Tm (0.3333, 0.6667, 0.5000)  5 In 3.08-3.34
Lu (0.6667, 0.3333, 0.0000)  5 In 3.08-3.34
In (0.3333, 0.6667, 0.0000)  3 Lu 3.08, 2 Tm 3.34
In (0.6667, 0.3333, 0.5000)  3 Tm 3.08, 2 Lu 3.34



no.,VASP energy (eV per atom)
1,-7.962
2,-8.386
3,-3.579
4,-6.690
5,-3.462
6,-6.536
7,-6.392
8,-4.699
9,-3.423
10,-6.069
11,-5.674
12,-4.294